1.
Density functional theory data (GGA-PBE) for crystalline GeSe3N at its relaxed geometry.

Summary:
* offset from the most stable computed form: 649 meV/atom
* E_form (uncorrected): 1.46 eV per atom
* D(E_F): 5.8 states/eV/f.u.
* final energy: -3.217 eV/atom

Cell lengths 5.050, 5.050, 5.050 Å; angles 90.00, 90.00, 90.00 degrees
Space group Pm-3m (No. 221)
Unique sites:
Ge: 0.000 0.000 0.000 (multiplicity 1)
Se: 0.000 0.000 0.500 (multiplicity 3)
N: 0.500 0.500 0.500 (multiplicity 1)

2.
Density functional theory data (GGA-PBE) for crystalline SiGeSe2N at its relaxed geometry.

Summary:
* offset from the most stable computed form: 591 meV/atom
* E_form (uncorrected): 0.81 eV per atom
* D(E_F): 2.9 states/eV/f.u.
* final energy: -4.262 eV/atom

Cell lengths 5.176, 5.176, 3.554 Å; angles 90.00, 90.00, 90.00 degrees
Space group P4/mmm (No. 123)
Unique sites:
Si: 0.000 0.000 0.000 (multiplicity 1)
Ge: 0.500 0.500 0.500 (multiplicity 1)
Se: 0.000 0.500 0.500 (multiplicity 2)
N: 0.500 0.500 0.000 (multiplicity 1)

3.
Density functional theory data (GGA-PBE) for crystalline SiGeSe2N at its relaxed geometry.

Summary:
* offset from the most stable computed form: 0 meV/atom
* E_form (uncorrected): 0.21 eV per atom
* D(E_F): 2.1 states/eV/f.u.
* final energy: -4.853 eV/atom

Cell lengths 5.244, 5.244, 3.275 Å; angles 90.00, 90.00, 90.00 degrees
Space group P4/mmm (No. 123)
Unique sites:
Si: 0.000 0.000 0.000 (multiplicity 1)
Ge: 0.500 0.500 0.500 (multiplicity 1)
Se: 0.000 0.500 0.000 (multiplicity 2)
N: 0.000 0.000 0.500 (multiplicity 1)

4.
Density functional theory data (GGA-PBE) for crystalline Sm4GeSe2N at its relaxed geometry.

Summary:
* E_form (uncorrected): -1.45 eV per atom
* D(E_F): 1.8 states/eV/f.u.
* final energy: -6.294 eV/atom

Cell lengths 6.988, 4.003, 7.178 Å; angles 90.00, 108.84, 90.00 degrees
Space group P2/m (No. 10)
Unique sites:
Sm: 0.220 0.000 0.212 (multiplicity 2)
Sm: 0.237 0.500 0.773 (multiplicity 2)
Ge: 0.500 0.000 0.000 (multiplicity 1)
Se: 0.000 0.000 0.500 (multiplicity 1)
Se: 0.500 0.500 0.500 (multiplicity 1)
N: 0.000 0.500 0.000 (multiplicity 1)

5.
Density functional theory data (GGA-PBE) for crystalline SnGeSe2N at its relaxed geometry.

Summary:
* offset from the most stable computed form: 300 meV/atom
* E_form (uncorrected): 0.72 eV per atom
* D(E_F): 2.2 states/eV/f.u.
* final energy: -4.063 eV/atom

Cell lengths 5.361, 5.361, 4.025 Å; angles 90.00, 90.00, 90.00 degrees
Space group P4/mmm (No. 123)
Unique sites:
Sn: 0.000 0.000 0.000 (multiplicity 1)
Ge: 0.500 0.500 0.500 (multiplicity 1)
Se: 0.000 0.500 0.000 (multiplicity 2)
N: 0.000 0.000 0.500 (multiplicity 1)

6.
Density functional theory data (GGA-PBE) for crystalline SnGeSeN2 at its relaxed geometry.

Summary:
* offset from the most stable computed form: 0 meV/atom
* E_form (uncorrected): 0.97 eV per atom
* D(E_F): 3.7 states/eV/f.u.
* final energy: -4.776 eV/atom

Cell lengths 3.961, 3.961, 5.253 Å; angles 90.00, 90.00, 90.00 degrees
Space group P4/mmm (No. 123)
Unique sites:
Sn: 0.000 0.000 0.000 (multiplicity 1)
Ge: 0.500 0.500 0.500 (multiplicity 1)
Se: 0.500 0.500 0.000 (multiplicity 1)
N: 0.000 0.500 0.500 (multiplicity 2)

7.
Density functional theory data (GGA-PBE) for crystalline SnGeSe2N at its relaxed geometry.

Summary:
* offset from the most stable computed form: 0 meV/atom
* E_form (uncorrected): 0.42 eV per atom
* D(E_F): 3.6 states/eV/f.u.
* final energy: -4.363 eV/atom

Cell lengths 5.287, 5.287, 3.632 Å; angles 90.00, 90.00, 90.00 degrees
Space group P4/mmm (No. 123)
Unique sites:
Sn: 0.000 0.000 0.000 (multiplicity 1)
Ge: 0.500 0.500 0.500 (multiplicity 1)
Se: 0.000 0.500 0.500 (multiplicity 2)
N: 0.500 0.500 0.000 (multiplicity 1)

8.
Density functional theory data (GGA-PBE) for crystalline SnGeSeN2 at its relaxed geometry.

Summary:
* offset from the most stable computed form: 200 meV/atom
* E_form (uncorrected): 1.17 eV per atom
* D(E_F): 1.8 states/eV/f.u.
* final energy: -4.576 eV/atom

Cell lengths 4.150, 4.150, 5.591 Å; angles 90.00, 90.00, 90.00 degrees
Space group P4/mmm (No. 123)
Unique sites:
Sn: 0.000 0.000 0.000 (multiplicity 1)
Ge: 0.500 0.500 0.500 (multiplicity 1)
Se: 0.000 0.000 0.500 (multiplicity 1)
N: 0.000 0.500 0.000 (multiplicity 2)

9.
Density functional theory data (GGA-PBE) for crystalline SrGeSeN2 at its relaxed geometry.

Summary:
* offset from the most stable computed form: 1083 meV/atom
* E_form (uncorrected): 1.40 eV per atom
* D(E_F): 3.0 states/eV/f.u.
* final energy: -3.884 eV/atom

Cell lengths 4.745, 4.745, 6.114 Å; angles 90.00, 90.00, 90.00 degrees
Space group P4/mmm (No. 123)
Unique sites:
Sr: 0.000 0.000 0.000 (multiplicity 1)
Ge: 0.500 0.500 0.500 (multiplicity 1)
Se: 0.000 0.000 0.500 (multiplicity 1)
N: 0.000 0.500 0.000 (multiplicity 2)

10.
Density functional theory data (GGA-PBE) for crystalline SrGeSeN2 at its relaxed geometry.

Summary:
* offset from the most stable computed form: 0 meV/atom
* E_form (uncorrected): 0.32 eV per atom
* D(E_F): 2.2 states/eV/f.u.
* final energy: -4.967 eV/atom

Cell lengths 4.118, 4.118, 5.211 Å; angles 90.00, 90.00, 90.00 degrees
Space group P4/mmm (No. 123)
Unique sites:
Sr: 0.000 0.000 0.000 (multiplicity 1)
Ge: 0.500 0.500 0.500 (multiplicity 1)
Se: 0.500 0.500 0.000 (multiplicity 1)
N: 0.000 0.500 0.500 (multiplicity 2)

11.
Density functional theory data (GGA-PBE) for crystalline TaGeSeN2 at its relaxed geometry.

Summary:
* offset from the most stable computed form: 1068 meV/atom
* E_form (uncorrected): 1.24 eV per atom
* D(E_F): 4.0 states/eV/f.u.
* final energy: -6.085 eV/atom

Cell lengths 3.819, 3.819, 4.882 Å; angles 90.00, 90.00, 90.00 degrees
Space group P4/mmm (No. 123)
Unique sites:
Ta: 0.000 0.000 0.000 (multiplicity 1)
Ge: 0.500 0.500 0.500 (multiplicity 1)
Se: 0.500 0.500 0.000 (multiplicity 1)
N: 0.000 0.500 0.500 (multiplicity 2)

12.
Density functional theory data (GGA-PBE) for crystalline TaGeSe2N at its relaxed geometry.

Summary:
* offset from the most stable computed form: 0 meV/atom
* E_form (uncorrected): -0.02 eV per atom
* D(E_F): 2.0 states/eV/f.u.
* final energy: -6.369 eV/atom

Cell lengths 5.189, 5.189, 3.890 Å; angles 90.00, 90.00, 90.00 degrees
Space group P4/mmm (No. 123)
Unique sites:
Ta: 0.000 0.000 0.000 (multiplicity 1)
Ge: 0.500 0.500 0.500 (multiplicity 1)
Se: 0.000 0.500 0.000 (multiplicity 2)
N: 0.000 0.000 0.500 (multiplicity 1)

Question: What is the E_form (uncorrected) in the ninth record?
Answer: 1.40 eV per atom

Question: The highest final energy belongs to which entry?
Answer: GeSe3N